Entry 1:
MgZr2GaBr | Alexandria via LeMat-Bulk | PBE | optimized geometry; M_tot = 0.00 μB/f.u.; energy relative to the elements, uncorrected = 0.45 eV/atom; total energy = -4.229 eV/atom; N(E_F) = 2.71 states/eV/f.u.; calculated volume = 24.26 Å³ per atom
1.0
5.004 0.000 0.000
0.000 5.004 0.000
0.000 0.000 4.843
Mg Zr Ga Br
1 2 1 1
Cartesian
0.000 0.000 0.000 Mg
0.000 2.502 2.421 Zr
2.502 0.000 2.421 Zr
2.502 2.502 0.000 Ga
0.000 0.000 2.421 Br

***

Entry 2:
CuTc2Se | Alexandria via LeMat-Bulk | PBE | optimized geometry; M_tot = 0.00 μB/f.u.; energy relative to the elements, uncorrected = 0.40 eV/atom; total energy = -6.682 eV/atom; N(E_F) = 4.23 states/eV/f.u.; calculated volume = 14.74 Å³ per atom
1.0
2.910 0.000 0.000
-1.455 2.520 0.000
0.000 0.000 24.120
Cu Tc Se
3 6 3
Cartesian
0.000 0.000 0.000 Cu
0.000 1.680 16.080 Cu
1.455 0.840 8.040 Cu
0.000 0.000 5.950 Tc
0.000 0.000 18.170 Tc
0.000 1.680 10.130 Tc
0.000 1.680 22.030 Tc
1.455 0.840 2.090 Tc
1.455 0.840 13.990 Tc
0.000 0.000 12.060 Se
0.000 1.680 4.020 Se
1.455 0.840 20.100 Se